No. 1
FeHg2Ir at its PBEsol-relaxed geometry. Source: Alexandria via LeMat-Bulk, functional meta-GGA SCAN.

## Properties
**ΔH_f (0 K)**: 0.4750 eV/atom
**Final energy**: -55.915 eV/atom
**Symmetry**: No. 119
**Relative energy among the computed polymorphs**: 0.237 eV per atom

The structure in POSCAR format:
```
FeHg2Ir
1.0
-1.368 3.530 1.384
-3.785 -1.184 -0.720
2.353 -2.714 3.379
Fe Hg Ir
1 2 1
Direct
0.250 0.750 0.500
0.750 0.250 0.500
0.000 0.000 0.000
0.500 0.500 0.000
```

=====

No. 2
SrTe2Rh at its PBEsol-relaxed geometry. Source: Alexandria via LeMat-Bulk, functional meta-GGA SCAN.

## Properties
**Formation energy without anion corrections**: -0.83 eV per atom
**Final energy**: -33.469 eV/atom
**Symmetry**: No. 166
**Relative energy among the computed polymorphs**: 0.064 eV per atom

The structure in POSCAR format:
```
SrTe2Rh
1.0
-0.851 1.700 -3.800
-3.740 1.894 -0.691
1.057 7.052 0.543
Rh Te Sr
1 2 1
Direct
0.000 0.000 0.000
0.273 0.273 0.181
0.727 0.727 0.819
0.500 0.500 0.500
```

=====

No. 3
LiTi3Sb at its PBEsol-relaxed geometry. Source: Alexandria via LeMat-Bulk, functional meta-GGA SCAN.

## Properties
**Formation energy without anion corrections**: 0.41 eV per atom
**Final energy**: -17.134 eV/atom
**Symmetry**: No. 221
**Relative energy among the computed polymorphs**: 0.000 eV per atom

The structure in POSCAR format:
```
LiTi3Sb
1.0
-0.162 4.031 -1.694
-3.478 0.909 2.495
2.651 1.439 3.171
Sb Ti Li
1 3 1
Direct
0.500 0.500 0.500
0.000 0.500 0.000
0.500 0.000 0.000
0.000 0.000 0.500
0.000 0.000 0.000
```

=====

No. 4
PbC at its PBEsol-relaxed geometry. Source: Alexandria via LeMat-Bulk, functional meta-GGA SCAN.

## Properties
**ΔH_f (0 K)**: 2.4234 eV/atom
**Final energy**: -40.517 eV/atom
**Symmetry**: No. 221
**Relative energy among the computed polymorphs**: 1.543 eV per atom

The structure in POSCAR format:
```
PbC
1.0
-2.963 3.493 1.738
-2.032 -3.244 3.056
3.330 1.128 3.411
Pb C
3 3
Direct
0.000 0.000 0.500
0.500 0.000 0.000
0.000 0.500 0.000
0.500 0.000 0.500
0.500 0.500 0.000
0.000 0.500 0.500
```

=====

No. 5
BeTeSe at its PBEsol-relaxed geometry. Source: Alexandria via LeMat-Bulk, functional meta-GGA SCAN.

## Properties
**Formation energy without anion corrections**: -0.18 eV per atom
**Final energy**: -20.739 eV/atom
**Symmetry**: No. 107
**Relative energy among the computed polymorphs**: 0.000 eV per atom

The structure in POSCAR format:
```
BeTeSe
1.0
3.103 0.000 0.000
0.000 3.103 0.000
-1.551 -1.551 7.466
Se Be Te
1 1 1
Direct
0.573 0.573 0.146
0.132 0.132 0.263
0.295 0.295 0.591
```

=====

No. 6
K2CrAs at its PBEsol-relaxed geometry. Source: Alexandria via LeMat-Bulk, functional meta-GGA SCAN.

## Properties
**ΔH_f (0 K)**: -0.0058 eV/atom
**Final energy**: -13.814 eV/atom
**Symmetry**: No. 216

The structure in POSCAR format:
```
K2CrAs
1.0
5.188 0.000 0.000
2.594 4.493 0.000
2.594 1.498 4.236
K As Cr
2 1 1
Direct
0.000 0.000 0.000
0.750 0.750 0.750
0.500 0.500 0.500
0.250 0.250 0.250
```

=====

No. 7
LiCuSi2O5 at its PBEsol-relaxed geometry. Source: Alexandria via LeMat-Bulk, functional meta-GGA SCAN.

## Properties
**Formation energy without anion corrections**: -2.43 eV per atom
**Final energy**: -10.076 eV/atom
**Symmetry**: No. 4

The structure in POSCAR format:
```
LiCuSi2O5
1.0
4.891 0.000 0.000
0.000 5.686 -0.068
0.000 -2.398 7.592
O Li Cu Si
10 2 2 4
Direct
0.761 0.187 0.616
0.649 0.397 0.986
0.261 0.813 0.384
0.160 0.463 0.548
0.149 0.603 0.014
0.787 0.679 0.789
0.710 0.892 0.134
0.210 0.108 0.866
0.287 0.321 0.211
0.660 0.537 0.452
0.814 0.056 0.812
0.314 0.944 0.188
0.268 0.008 0.623
0.768 0.992 0.377
0.337 0.545 0.401
0.820 0.650 0.988
0.320 0.350 0.012
0.837 0.455 0.599
```

=====

No. 8
Ca2TcRh at its PBEsol-relaxed geometry. Source: Alexandria via LeMat-Bulk, functional meta-GGA SCAN.

## Properties
**ΔH_f (0 K)**: 0.4262 eV/atom
**Final energy**: -21.613 eV/atom
**Symmetry**: No. 139
**Relative energy among the computed polymorphs**: 0.210 eV per atom

The structure in POSCAR format:
```
Ca2TcRh
1.0
4.205 0.000 0.000
0.000 4.205 0.000
-2.103 -2.103 4.356
Ca Tc Rh
2 1 1
Direct
0.250 0.750 0.500
0.750 0.250 0.500
0.000 0.000 0.000
0.500 0.500 0.000
```

=====

No. 9
SrYSnSb2 at its PBEsol-relaxed geometry. Source: Alexandria via LeMat-Bulk, functional meta-GGA SCAN.

## Properties
**Formation energy without anion corrections**: 0.34 eV per atom
**Final energy**: -31.770 eV/atom
**Symmetry**: No. 123

The structure in POSCAR format:
```
SrYSnSb2
1.0
-2.352 4.401 -2.618
-4.906 -2.762 -0.234
-1.588 2.363 5.398
Y Sb Sn Sr
1 2 1 1
Direct
0.000 0.000 0.000
0.500 0.000 0.000
0.000 0.500 0.000
0.500 0.500 0.500
0.000 0.000 0.500
```

=====

No. 10
RuRhS3 at its PBEsol-relaxed geometry. Source: Alexandria via LeMat-Bulk, functional meta-GGA SCAN.

## Properties
**Formation energy without anion corrections**: 0.85 eV per atom
**Final energy**: -18.643 eV/atom
**Symmetry**: No. 221

The structure in POSCAR format:
```
RuRhS3
1.0
4.472 0.000 0.000
0.000 4.472 0.000
0.000 0.000 4.472
S Ru Rh
3 1 1
Direct
0.000 0.000 0.500
0.500 0.000 0.000
0.000 0.500 0.000
0.000 0.000 0.000
0.500 0.500 0.500
```

=====

No. 11
TeOsSe2 at its PBEsol-relaxed geometry. Source: Alexandria via LeMat-Bulk, functional meta-GGA SCAN.

## Properties
**Formation energy without anion corrections**: 0.98 eV per atom
**Final energy**: -36.340 eV/atom
**Symmetry**: No. 216

The structure in POSCAR format:
```
TeOsSe2
1.0
-1.823 0.616 -4.276
-1.502 -3.696 -2.463
-4.591 -0.638 -0.706
Se Te Os
2 1 1
Direct
0.750 0.750 0.750
0.000 0.000 0.000
0.250 0.250 0.250
0.500 0.500 0.500
```

=====

No. 12
IrCSCl2 at its PBEsol-relaxed geometry. Source: Alexandria via LeMat-Bulk, functional meta-GGA SCAN.

## Properties
**Formation energy without anion corrections**: 1.47 eV per atom
**Final energy**: -19.884 eV/atom
**Symmetry**: No. 123
**Relative energy among the computed polymorphs**: 0.000 eV per atom

The structure in POSCAR format:
```
IrCSCl2
1.0
-1.810 -0.597 3.919
4.403 -0.088 2.020
-0.198 4.798 0.640
Cl S Ir C
2 1 1 1
Direct
0.000 0.000 0.500
0.000 0.500 0.000
0.500 0.000 0.000
0.000 0.000 0.000
0.500 0.500 0.500
```

=====

No. 13
MgSc3 at its PBEsol-relaxed geometry. Source: Alexandria via LeMat-Bulk, functional meta-GGA SCAN.

## Properties
**ΔH_f (0 K)**: 0.0790 eV/atom
**Final energy**: -11.842 eV/atom
**Symmetry**: No. 225
**Relative energy among the computed polymorphs**: 0.093 eV per atom

The structure in POSCAR format:
```
MgSc3
1.0
-2.800 2.612 -3.341
-4.784 -1.418 -0.964
-3.874 2.862 1.620
Sc Mg
3 1
Direct
0.500 0.500 0.500
0.250 0.250 0.250
0.750 0.750 0.750
0.000 0.000 0.000
```

=====

No. 14
ErCo2B2 at its PBEsol-relaxed geometry. Source: Alexandria via LeMat-Bulk, functional meta-GGA SCAN.

## Properties
**ΔH_f (0 K)**: -0.5603 eV/atom
**Final energy**: -20.522 eV/atom
**Symmetry**: No. 139

The structure in POSCAR format:
```
ErCo2B2
1.0
-1.569 -2.831 1.321
2.102 0.136 2.790
-3.259 3.999 0.071
B Co Er
2 2 1
Direct
0.356 0.356 0.712
0.644 0.644 0.288
0.750 0.250 0.500
0.250 0.750 0.500
0.000 0.000 0.000
```

=====

No. 15
NdH5Se2O8 at its PBEsol-relaxed geometry. Source: Alexandria via LeMat-Bulk, functional meta-GGA SCAN.

## Properties
**Final energy**: -10.908 eV/atom
**Symmetry**: No. 19

The structure in POSCAR format:
```
NdH5Se2O8
1.0
6.761 0.000 0.000
0.000 7.086 0.000
0.000 0.000 15.975
H Nd O Se
20 4 32 8
Direct
0.276 0.670 0.449
0.444 0.768 0.108
0.689 0.093 0.415
0.599 0.256 0.530
0.401 0.756 0.970
0.189 0.407 0.585
0.517 0.416 0.597
0.724 0.170 0.051
0.811 0.907 0.915
0.311 0.593 0.085
0.483 0.916 0.903
0.901 0.744 0.030
0.056 0.232 0.608
0.556 0.268 0.392
0.983 0.584 0.097
0.224 0.330 0.949
0.017 0.084 0.403
0.099 0.244 0.470
0.944 0.732 0.892
0.776 0.830 0.551
0.376 0.604 0.787
0.624 0.104 0.713
0.876 0.896 0.213
0.124 0.396 0.287
0.189 0.076 0.237
0.191 0.719 0.239
0.090 0.294 0.976
0.858 0.903 0.367
0.142 0.403 0.133
0.974 0.105 0.699
0.811 0.576 0.263
0.526 0.895 0.199
0.908 0.817 0.938
0.599 0.300 0.592
0.474 0.395 0.301
0.584 0.895 0.593
0.901 0.700 0.092
0.691 0.781 0.761
0.309 0.281 0.739
0.916 0.105 0.093
0.410 0.706 0.476
0.592 0.183 0.438
0.311 0.924 0.737
0.642 0.097 0.867
0.401 0.800 0.908
0.408 0.683 0.062
0.910 0.794 0.524
0.358 0.597 0.633
0.092 0.317 0.562
0.099 0.200 0.408
0.689 0.424 0.763
0.084 0.605 0.407
0.026 0.605 0.801
0.590 0.206 0.024
0.809 0.219 0.261
0.416 0.395 0.907
0.344 0.898 0.273
0.844 0.602 0.727
0.645 0.303 0.925
0.156 0.102 0.773
0.855 0.697 0.425
0.656 0.398 0.227
0.145 0.197 0.075
0.355 0.803 0.575
```

=====

No. 16
ScNi3Mo at its PBEsol-relaxed geometry. Source: Alexandria via LeMat-Bulk, functional meta-GGA SCAN.

## Properties
**ΔH_f (0 K)**: 0.7856 eV/atom
**Final energy**: -18.743 eV/atom
**Symmetry**: No. 221
**Relative energy among the computed polymorphs**: 0.000 eV per atom

The structure in POSCAR format:
```
ScNi3Mo
1.0
4.403 0.000 0.000
0.000 4.403 0.000
0.000 0.000 4.403
Sc Ni Mo
1 3 1
Direct
0.500 0.500 0.500
0.000 0.000 0.500
0.000 0.500 0.000
0.500 0.000 0.000
0.000 0.000 0.000
```

=====

No. 17
MgBe2FeIr at its PBEsol-relaxed geometry. Source: Alexandria via LeMat-Bulk, functional meta-GGA SCAN.

## Properties
**ΔH_f (0 K)**: 0.2899 eV/atom
**Final energy**: -20.292 eV/atom
**Symmetry**: No. 123

The structure in POSCAR format:
```
MgBe2FeIr
1.0
-2.599 -2.193 2.478
3.305 -1.875 1.808
0.179 3.394 3.192
Be Ir Mg Fe
2 1 1 1
Direct
0.500 0.000 0.000
0.000 0.500 0.000
0.000 0.000 0.000
0.500 0.500 0.500
0.000 0.000 0.500
```

=====

No. 18
KLiSe2 at its PBEsol-relaxed geometry. Source: Alexandria via LeMat-Bulk, functional meta-GGA SCAN.

## Properties
**Formation energy without anion corrections**: -0.70 eV per atom
**Final energy**: -13.420 eV/atom
**Symmetry**: No. 123

The structure in POSCAR format:
```
KLiSe2
1.0
4.299 0.000 0.000
0.000 4.553 0.000
0.000 0.000 4.553
Se Li K
2 1 1
Direct
0.000 0.000 0.500
0.000 0.500 0.000
0.500 0.000 0.000
0.500 0.500 0.500
```

=====

No. 19
MnAlAs2 at its PBEsol-relaxed geometry. Source: Alexandria via LeMat-Bulk, functional meta-GGA SCAN.

## Properties
**ΔH_f (0 K)**: -0.0083 eV/atom
**Final energy**: -16.605 eV/atom
**Symmetry**: No. 123

The structure in POSCAR format:
```
MnAlAs2
1.0
-2.769 -1.373 1.145
0.112 -2.947 -3.261
2.382 -2.700 2.522
As Al Mn
2 1 1
Direct
0.000 0.000 0.500
0.000 0.500 0.000
0.500 0.000 0.000
0.500 0.500 0.500
```

=====

No. 20
IrCS2 at its PBEsol-relaxed geometry. Source: Alexandria via LeMat-Bulk, functional meta-GGA SCAN.

## Properties
**Formation energy without anion corrections**: 0.54 eV per atom
**Final energy**: -24.574 eV/atom
**Symmetry**: No. 166

The structure in POSCAR format:
```
IrCS2
1.0
-1.008 -2.223 -2.617
-2.105 -2.798 0.741
-5.532 1.462 -1.557
S C Ir
2 1 1
Direct
0.095 0.095 0.714
0.905 0.905 0.286
0.000 0.000 0.000
0.500 0.500 0.500
```

=====

No. 21
SbBr2N at its PBEsol-relaxed geometry. Source: Alexandria via LeMat-Bulk, functional meta-GGA SCAN.

## Properties
**Formation energy without anion corrections**: 1.20 eV per atom
**Final energy**: -20.171 eV/atom
**Symmetry**: No. 166
**Relative energy among the computed polymorphs**: 0.121 eV per atom

The structure in POSCAR format:
```
SbBr2N
1.0
-0.248 -0.026 3.489
-3.136 -0.247 1.528
-0.463 -8.635 1.656
N Br Sb
1 2 1
Direct
0.500 0.500 0.500
0.896 0.896 0.311
0.104 0.104 0.689
0.000 0.000 0.000
```

=====

No. 22
Be2FeCu at its PBEsol-relaxed geometry. Source: Alexandria via LeMat-Bulk, functional meta-GGA SCAN.

## Properties
**ΔH_f (0 K)**: 0.0295 eV/atom
**Final energy**: -10.479 eV/atom
**Symmetry**: No. 71

The structure in POSCAR format:
```
Be2FeCu
1.0
2.599 0.000 0.000
0.000 3.972 0.000
-1.299 -1.986 3.661
Be Fe Cu
2 1 1
Direct
0.253 0.253 0.505
0.747 0.747 0.495
0.500 0.000 0.000
0.000 0.500 0.000
```

=====

No. 23
CsRb2Na2 at its PBEsol-relaxed geometry. Source: Alexandria via LeMat-Bulk, functional meta-GGA SCAN.

## Properties
**ΔH_f (0 K)**: 0.0458 eV/atom
**Final energy**: -17.498 eV/atom
**Symmetry**: No. 139
**Relative energy among the computed polymorphs**: 0.020 eV per atom

The structure in POSCAR format:
```
CsRb2Na2
1.0
6.299 0.000 0.000
0.000 6.299 0.000
-3.149 -3.149 8.996
Cs Na Rb
1 2 2
Direct
0.000 0.000 0.000
0.594 0.594 0.188
0.406 0.406 0.812
0.750 0.250 0.500
0.250 0.750 0.500
```

=====

No. 24
CsCrCuB2 at its PBEsol-relaxed geometry. Source: Alexandria via LeMat-Bulk, functional meta-GGA SCAN.

## Properties
**ΔH_f (0 K)**: 1.7412 eV/atom
**Final energy**: -15.510 eV/atom
**Symmetry**: No. 123

The structure in POSCAR format:
```
CsCrCuB2
1.0
4.030 0.000 0.000
0.000 4.030 0.000
0.000 0.000 5.504
B Cr Cu Cs
2 1 1 1
Direct
0.000 0.500 0.000
0.500 0.000 0.000
0.000 0.000 0.000
0.500 0.500 0.500
0.000 0.000 0.500
```

=====

No. 25
AgSb2Te at its PBEsol-relaxed geometry. Source: Alexandria via LeMat-Bulk, functional meta-GGA SCAN.

## Properties
**Formation energy without anion corrections**: 0.19 eV per atom
**Final energy**: -35.595 eV/atom
**Symmetry**: No. 123

The structure in POSCAR format:
```
AgSb2Te
1.0
-2.011 -0.608 -2.282
-1.778 -1.583 1.989
-5.230 8.741 2.279
Ag Sb Te
1 2 1
Direct
0.500 0.500 0.500
0.000 0.000 0.297
0.000 0.000 0.703
0.500 0.500 0.000
```

=====

No. 26
CoReSb2 at its PBEsol-relaxed geometry. Source: Alexandria via LeMat-Bulk, functional meta-GGA SCAN.

## Properties
**Formation energy without anion corrections**: 0.61 eV per atom
**Final energy**: -40.125 eV/atom
**Symmetry**: No. 12
**Relative energy among the computed polymorphs**: 0.079 eV per atom

The structure in POSCAR format:
```
CoReSb2
1.0
-2.100 -2.211 0.889
1.738 -0.959 -3.953
3.576 -2.038 3.380
Re Co Sb
1 1 2
Direct
0.500 0.000 0.000
0.000 0.000 0.500
0.747 0.493 0.746
0.253 0.507 0.254
```